Entry 1:
DFT (PBEsol) results for Li2TaI after structural relaxation.

a = 4.616 Å, b = 4.616 Å, c = 4.616 Å
α = 60.00°, β = 60.00°, γ = 60.00°
Site moments in Bohr magnetons follow the coordinates.
Atoms (fractional coordinates):
Li 0.750 0.750 0.750  0.00
Li 0.250 0.250 0.250  0.00
I 0.000 0.000 0.000  0.01
Ta 0.500 0.500 0.500  0.41

The space group is Fm-3m (225). The density comes out at 7.7 g/cm³. The calculation puts the density of states at the Fermi level at 3.928 states/eV/cell.



Entry 2:
DFT (PBEsol) results for LiTaTeI2 after structural relaxation.

a = 4.820 Å, b = 6.087 Å, c = 6.087 Å
α = 90.00°, β = 90.00°, γ = 90.00°
Site moments in Bohr magnetons follow the coordinates.
Atoms (fractional coordinates):
Te 0.000 0.000 0.000  0.03
Li 0.500 0.000 0.000  0.00
I 0.000 0.000 0.500  0.02
I 0.000 0.500 0.000  0.02
Ta 0.500 0.500 0.500  2.45

The space group is P4/mmm (123). The density comes out at 5.3 g/cm³. The calculation puts the density of states at the Fermi level at 5.927 states/eV/cell.



Entry 3:
DFT (PBEsol) results for Li2Te2I after structural relaxation.

a = 3.451 Å, b = 8.723 Å, c = 8.723 Å
α = 90.00°, β = 90.00°, γ = 90.00°
Atoms (fractional coordinates):
Li 0.500 0.633 0.867
Li 0.500 0.367 0.133
Li 0.500 0.867 0.367
Li 0.500 0.133 0.633
Te 0.000 0.673 0.173
Te 0.000 0.327 0.827
Te 0.000 0.173 0.327
Te 0.000 0.827 0.673
I 0.000 0.000 0.000
I 0.000 0.500 0.500

The space group is P4/mbm (127). The density comes out at 5.0 g/cm³. The calculation puts the density of states at the Fermi level at 3.921 states/eV/cell.



Entry 4:
DFT (PBEsol) results for LiTeI3 after structural relaxation.

a = 5.271 Å, b = 5.271 Å, c = 5.271 Å
α = 90.00°, β = 90.00°, γ = 90.00°
Atoms (fractional coordinates):
I 0.000 0.000 0.500
I 0.000 0.500 0.000
I 0.500 0.000 0.000
Te 0.500 0.500 0.500
Li 0.000 0.000 0.000

The space group is Pm-3m (221). The density comes out at 5.8 g/cm³. The calculation puts the density of states at the Fermi level at 3.628 states/eV/cell.



Number 1: E_tot -3.652 eV per atom. Number 2: E_tot -3.162 eV per atom. Number 3: E_tot -2.956 eV per atom. Number 4: E_tot -2.237 eV per atom.